Material: MgSiB2O6
Method: DFT, PBE
State: relaxed

Output
Raw formation energy = -24.14 eV per formula unit
Symmetry = C2/c
Total magnetic moment = 0.00 Bohr magnetons per cell
Electronic total energy = -148.526 eV per cell

abc: 6.4071 6.4071 4.9272
angles: 106.21 106.21 88.58
Sites, in units of the cell vectors:
Mg  0.1152  0.8848  0.7500
Mg  0.8848  0.1152  0.2500
Si  0.2218  0.7782  0.2500
Si  0.7782  0.2218  0.7500
B  0.2397  0.3764  0.8043
B  0.3764  0.2397  0.3043
B  0.6236  0.7603  0.6957
B  0.7603  0.6236  0.1957
O  0.0176  0.2199  0.6775
O  0.1833  0.6087  0.9244
O  0.2199  0.0176  0.1775
O  0.2991  0.3701  0.5392
O  0.3701  0.2991  0.0392
O  0.3913  0.8167  0.5756
O  0.6087  0.1833  0.4244
O  0.6299  0.7009  0.9608
O  0.7009  0.6299  0.4608
O  0.7801  0.9824  0.8225
O  0.8167  0.3913  0.0756
O  0.9824  0.7801  0.3225